# Cs2RbCo3F12 (GGA+U, optimized geometry)
data_Cs2RbCo3F12
_chemical_formula_sum 'Cs2 Rb1 Co3 F12'
_cell_length_a 7.590
_cell_length_b 7.590
_cell_length_c 7.590
_cell_angle_alpha 58.97
_cell_angle_beta 58.97
_cell_angle_gamma 58.97
_symmetry_space_group_name_H-M 'P 1'
_symmetry_Int_Tables_number 1
loop_
_symmetry_equiv_pos_as_xyz
'x,y,z'
loop_
_atom_site_label
_atom_site_fract_x
_atom_site_fract_y
_atom_site_fract_z
Cs1 0.112 0.112 0.112
Cs2 0.888 0.888 0.888
Rb1 0.500 0.500 0.500
Co1 0.000 0.500 0.500
Co2 0.500 0.000 0.500
Co3 0.500 0.500 0.000
F1 0.046 0.620 0.620
F2 0.221 0.221 0.607
F3 0.221 0.607 0.221
F4 0.380 0.380 0.954
F5 0.380 0.954 0.380
F6 0.393 0.779 0.779
F7 0.607 0.221 0.221
F8 0.620 0.046 0.620
F9 0.620 0.620 0.046
F10 0.779 0.393 0.779
F11 0.779 0.779 0.393
F12 0.954 0.380 0.380
# magnetization = 6.0 μB per formula unit
# D(E_F) = 0.2 states/eV/f.u.
# uncorrected energy = -80.5 eV/cell